(1)
Material: CsTa2SbPb
Method: DFT, GGA-PBE
State: relaxed

```
CsTa2SbPb
1.0
5.184 0.000 0.000
0.000 5.184 0.000
0.000 0.000 5.988
Cs Ta Sb Pb
1 2 1 1
direct
0.000 0.000 0.000
0.000 0.500 0.000
0.500 0.000 0.000
0.000 0.000 0.500
0.500 0.500 0.500
```

volume: 160.9 Å³/f.u.
E_tot: -3.69 eV/atom
M_tot: 0.82 μB per formula unit
formation energy without anion corrections: 2.79 eV/atom


(2)
Material: Tb2NdDy2
Method: DFT, GGA-PBE
State: relaxed

```
Tb2NdDy2
1.0
0.000 5.821 11.385
2.767 0.000 11.385
2.767 5.821 0.000
Tb Nd Dy
4 2 4
direct
0.044 0.706 0.044
0.294 0.956 0.294
0.706 0.044 0.706
0.956 0.294 0.956
0.375 0.375 0.375
0.625 0.625 0.625
0.000 0.500 0.500
0.500 0.000 0.500
0.500 0.500 0.000
0.500 0.500 0.500
```

volume: 183.4 Å³/f.u.
energy above the most stable polymorph in this dataset: 9.57 kcal/mol of atoms
E_tot: -4.15 eV/atom
M_tot: 0.00 μB per formula unit


(3)
Material: TiGeH3
Method: DFT, GGA-PBE
State: relaxed

```
TiGeH3
1.0
3.586 0.000 0.000
0.000 3.586 0.000
0.000 0.000 3.586
Ti Ge H
1 1 3
direct
0.000 0.000 0.000
0.500 0.500 0.500
0.000 0.000 0.500
0.000 0.500 0.000
0.500 0.000 0.000
```

volume: 46.1 Å³/f.u.
energy above the most stable polymorph in this dataset: 0.00 kcal/mol of atoms
E_tot: -4.37 eV/atom
M_tot: 0.00 μB per formula unit


(4)
Material: Y5Hg2Os
Method: DFT, GGA-PBE
State: relaxed

```
Y5Hg2Os
1.0
7.069 0.000 0.000
0.000 12.145 0.000
0.000 0.000 4.925
Y Hg Os
10 4 2
direct
0.000 0.000 0.000
0.138 0.292 0.000
0.173 0.586 0.500
0.327 0.086 0.500
0.362 0.792 0.000
0.500 0.500 0.000
0.638 0.208 0.000
0.673 0.914 0.500
0.827 0.414 0.500
0.862 0.708 0.000
0.088 0.841 0.500
0.412 0.341 0.500
0.588 0.659 0.500
0.912 0.159 0.500
0.000 0.500 0.000
0.500 0.000 0.000
```

volume: 211.4 Å³/f.u.
E_tot: -5.89 eV/atom
M_tot: 0.00 μB per formula unit


(5)
Material: Zr2ReSF
Method: DFT, GGA-PBE
State: relaxed

```
Zr2ReSF
1.0
4.921 0.000 0.000
0.000 4.921 0.000
0.000 0.000 4.224
Zr Re S F
2 1 1 1
direct
0.000 0.500 0.000
0.500 0.000 0.000
0.000 0.000 0.500
0.000 0.000 0.000
0.500 0.500 0.500
```

volume: 102.3 Å³/f.u.
E_tot: -7.13 eV/atom
M_tot: 0.00 μB per formula unit
formation energy without anion corrections: -0.03 eV/atom


(6)
Material: Pm4Nd5Sc2
Method: DFT, GGA-PBE
State: relaxed

```
Pm4Nd5Sc2
1.0
3.705 0.000 0.000
0.001 9.265 0.000
1.844 3.590 10.636
Pm Nd Sc
4 5 2
direct
0.023 0.203 0.453
0.128 0.744 0.242
0.872 0.256 0.758
0.977 0.797 0.547
0.230 0.152 0.042
0.332 0.567 0.838
0.500 0.500 0.500
0.668 0.433 0.162
0.770 0.848 0.958
0.402 0.978 0.696
0.598 0.022 0.304
```

volume: 365.0 Å³/f.u.
energy above the most stable polymorph in this dataset: 0.00 kcal/mol of atoms
E_tot: -4.99 eV/atom
M_tot: 0.00 μB per formula unit